# 1
{"formula": "Hf2ZrCu9", "functional": "PBE", "state": "optimized geometry", "lattice_angstrom": [[-4.153, 1.360, 2.373], [-3.890, -3.092, 0.174], [0.185, -3.797, 7.711]], "species": ["Hf", "Hf", "Zr", "Cu", "Cu", "Cu", "Cu", "Cu", "Cu", "Cu", "Cu", "Cu"], "frac_coords": [[0.862, 0.862, 0.415], [0.138, 0.138, 0.585], [0.000, 0.000, 0.000], [0.667, 0.667, 0.000], [0.333, 0.333, 0.000], [0.500, 0.500, 0.500], [0.414, 0.414, 0.252], [0.919, 0.414, 0.252], [0.414, 0.919, 0.252], [0.586, 0.586, 0.748], [0.586, 0.081, 0.748], [0.081, 0.586, 0.748]], "total_energy_ry_per_atom": -0.407, "n_ef_per_ev_cell": 10.748, "space_group": "R-3m (166)", "ef_ev_per_atom": -0.090}


# 2
{"formula": "HfZr2Cu", "functional": "PBE", "state": "optimized geometry", "lattice_angstrom": [[4.315, 0.000, 0.000], [0.000, 4.303, 0.000], [0.000, 0.000, 4.303]], "species": ["Hf", "Cu", "Zr", "Zr"], "frac_coords": [[0.500, 0.000, 0.000], [0.500, 0.500, 0.500], [0.000, 0.000, 0.500], [0.000, 0.500, 0.000]], "total_energy_ry_per_atom": -0.569, "e_above_lowest_polymorph_mev_per_atom": 141.7, "n_ef_per_ev_cell": 4.818, "space_group": "P4/mmm (123)", "ef_ev_per_atom": 0.050}


# 3
{"formula": "HfZrCu", "functional": "PBE", "state": "optimized geometry", "lattice_angstrom": [[6.394, 0.000, 0.000], [0.000, 3.196, 0.000], [-3.193, 0.000, 11.281]], "species": ["Hf", "Hf", "Hf", "Hf", "Cu", "Cu", "Cu", "Cu", "Zr", "Zr", "Zr", "Zr"], "frac_coords": [[0.171, 0.000, 0.345], [0.829, 0.000, 0.655], [0.171, 0.500, 0.845], [0.829, 0.500, 0.155], [0.000, 0.000, 0.000], [0.000, 0.500, 0.500], [0.500, 0.500, 0.500], [0.500, 0.000, 0.000], [0.674, 0.000, 0.344], [0.326, 0.000, 0.656], [0.674, 0.500, 0.844], [0.326, 0.500, 0.156]], "total_energy_ry_per_atom": -0.564, "e_above_lowest_polymorph_mev_per_atom": 5.1, "n_ef_per_ev_cell": 6.028, "space_group": "C2/m (12)", "ef_ev_per_atom": -0.146}


# 4
{"formula": "HfZr2Cu2", "functional": "PBE", "state": "optimized geometry", "lattice_angstrom": [[4.002, 0.000, 0.000], [2.001, 4.988, 0.245], [2.001, 1.333, 4.813]], "species": ["Hf", "Zr", "Zr", "Cu", "Cu"], "frac_coords": [[0.000, 0.000, 0.000], [0.800, 0.700, 0.700], [0.200, 0.300, 0.300], [0.500, 0.294, 0.706], [0.500, 0.706, 0.294]], "total_energy_ry_per_atom": -0.518, "e_above_lowest_polymorph_mev_per_atom": 62.0, "n_ef_per_ev_cell": 8.041, "space_group": "Immm (71)", "ef_ev_per_atom": -0.005}


# 5
{"formula": "HfZrCu", "functional": "PBE", "state": "optimized geometry", "lattice_angstrom": [[-6.271, 2.544, 0.952], [0.887, -6.166, 2.679], [-0.509, -0.145, 6.814]], "species": ["Zr", "Zr", "Zr", "Zr", "Cu", "Cu", "Cu", "Cu", "Hf", "Hf", "Hf", "Hf"], "frac_coords": [[0.840, 0.176, 0.454], [0.913, 0.324, 0.880], [0.796, 0.676, 0.410], [0.370, 0.824, 0.337], [0.035, 0.840, 0.624], [0.626, 0.340, 0.215], [0.536, 0.160, 0.805], [0.445, 0.660, 0.714], [0.282, 0.284, 0.556], [0.694, 0.784, 0.968], [0.248, 0.216, 0.090], [0.160, 0.716, 0.002]], "total_energy_ry_per_atom": -0.548, "e_above_lowest_polymorph_mev_per_atom": 228.1, "n_ef_per_ev_cell": 12.522, "space_group": "Fdd2 (43)", "ef_ev_per_atom": 0.077}


# 6
{"formula": "HfZr2Cu", "functional": "PBE", "state": "optimized geometry", "lattice_angstrom": [[-2.908, -1.195, 2.535], [2.609, 0.181, 3.078], [-2.752, 9.284, 4.438]], "species": ["Hf", "Hf", "Cu", "Cu", "Zr", "Zr", "Zr", "Zr"], "frac_coords": [[0.000, 0.000, 0.000], [0.750, 0.250, 0.500], [0.500, 0.500, 0.000], [0.250, 0.750, 0.500], [0.618, 0.125, 0.250], [0.132, 0.625, 0.250], [0.375, 0.382, 0.750], [0.875, 0.868, 0.750]], "total_energy_ry_per_atom": -0.542, "e_above_lowest_polymorph_mev_per_atom": 509.0, "n_ef_per_ev_cell": 10.466, "space_group": "I-42d (122)", "ef_ev_per_atom": 0.417}


# 7
{"formula": "HfZr2Cu2", "functional": "PBE", "state": "optimized geometry", "lattice_angstrom": [[7.756, 0.000, 0.000], [0.000, 7.756, 0.000], [0.000, 0.000, 3.136]], "species": ["Hf", "Hf", "Cu", "Cu", "Cu", "Cu", "Zr", "Zr", "Zr", "Zr"], "frac_coords": [[0.000, 0.000, 0.000], [0.500, 0.500, 0.000], [0.134, 0.634, 0.500], [0.634, 0.866, 0.500], [0.866, 0.366, 0.500], [0.366, 0.134, 0.500], [0.340, 0.840, 0.000], [0.840, 0.660, 0.000], [0.660, 0.160, 0.000], [0.160, 0.340, 0.000]], "total_energy_ry_per_atom": -0.507, "e_above_lowest_polymorph_mev_per_atom": 210.2, "n_ef_per_ev_cell": 8.344, "space_group": "P4/mbm (127)", "ef_ev_per_atom": 0.144}


# 8
{"formula": "HfZr2Cu", "functional": "PBE", "state": "optimized geometry", "lattice_angstrom": [[0.000, 3.408, 3.408], [3.408, 0.000, 3.408], [3.408, 3.408, 0.000]], "species": ["Hf", "Cu", "Zr", "Zr"], "frac_coords": [[0.500, 0.500, 0.500], [0.000, 0.000, 0.000], [0.250, 0.250, 0.250], [0.750, 0.750, 0.750]], "total_energy_ry_per_atom": -0.562, "e_above_lowest_polymorph_mev_per_atom": 228.3, "n_ef_per_ev_cell": 5.274, "space_group": "Fm-3m (225)", "ef_ev_per_atom": 0.136}


# 9
{"formula": "HfZrCu", "functional": "PBE", "state": "optimized geometry", "lattice_angstrom": [[6.054, -0.009, -0.008], [0.850, 3.090, -0.009], [-0.002, -3.330, 3.089]], "species": ["Hf", "Cu", "Zr"], "frac_coords": [[0.402, 0.435, 0.427], [0.108, 0.729, 0.075], [0.780, 0.057, 0.739]], "total_energy_ry_per_atom": -0.565, "e_above_lowest_polymorph_mev_per_atom": 0.0, "n_ef_per_ev_cell": 1.828, "space_group": "Fmm2 (42)", "ef_ev_per_atom": -0.151}


# 10
{"formula": "HfZrCu", "functional": "PBE", "state": "optimized geometry", "lattice_angstrom": [[-0.757, 2.856, 3.409], [-4.335, 0.359, -1.263], [-0.955, -5.764, 1.635]], "species": ["Hf", "Hf", "Zr", "Zr", "Cu", "Cu"], "frac_coords": [[0.906, 0.750, 0.812], [0.094, 0.250, 0.188], [0.595, 0.750, 0.190], [0.405, 0.250, 0.810], [0.250, 0.750, 0.501], [0.750, 0.250, 0.499]], "total_energy_ry_per_atom": -0.564, "e_above_lowest_polymorph_mev_per_atom": 5.8, "n_ef_per_ev_cell": 3.211, "space_group": "Cmcm (63)", "ef_ev_per_atom": -0.145}


# 11
{"formula": "HfZrCu3", "functional": "PBE", "state": "optimized geometry", "lattice_angstrom": [[-2.026, -1.672, -1.498], [-2.139, -0.634, 3.601], [-5.891, 11.235, -1.522]], "species": ["Hf", "Hf", "Zr", "Zr", "Cu", "Cu", "Cu", "Cu", "Cu", "Cu"], "frac_coords": [[0.211, 0.750, 0.422], [0.789, 0.250, 0.578], [0.927, 0.750, 0.853], [0.073, 0.250, 0.147], [0.621, 0.750, 0.241], [0.379, 0.250, 0.759], [0.524, 0.750, 0.048], [0.476, 0.250, 0.952], [0.675, 0.250, 0.349], [0.325, 0.750, 0.651]], "total_energy_ry_per_atom": -0.462, "e_above_lowest_polymorph_mev_per_atom": 0.0, "n_ef_per_ev_cell": 7.664, "space_group": "Cmcm (63)", "ef_ev_per_atom": -0.132}


# 12
{"formula": "HfZr3Cu", "functional": "PBE", "state": "optimized geometry", "lattice_angstrom": [[-1.140, -4.077, -2.909], [-0.347, -2.912, 4.218], [-4.996, 1.133, 0.371]], "species": ["Hf", "Cu", "Zr", "Zr", "Zr"], "frac_coords": [[0.000, 0.000, 0.000], [0.500, 0.500, 0.500], [0.000, 0.500, 0.000], [0.000, 0.000, 0.500], [0.500, 0.000, 0.000]], "total_energy_ry_per_atom": -0.487, "e_above_lowest_polymorph_mev_per_atom": 1234.2, "n_ef_per_ev_cell": 8.237, "space_group": "Pm-3m (221)", "ef_ev_per_atom": 1.317}


# 13
{"formula": "HfZrCu", "functional": "PBE", "state": "optimized geometry", "lattice_angstrom": [[-2.359, -1.314, 1.765], [2.833, -3.376, 1.274], [-0.266, 3.837, 2.500]], "species": ["Hf", "Cu", "Zr"], "frac_coords": [[0.113, 0.000, 0.000], [0.250, 0.333, 0.667], [0.637, 0.667, 0.333]], "total_energy_ry_per_atom": -0.541, "e_above_lowest_polymorph_mev_per_atom": 324.4, "n_ef_per_ev_cell": 3.687, "space_group": "P3m1 (156)", "ef_ev_per_atom": 0.174}


# 14
{"formula": "Hf2Zr2Cu", "functional": "PBE", "state": "optimized geometry", "lattice_angstrom": [[7.038, 0.000, 0.000], [0.000, 7.038, 0.000], [0.000, 0.000, 4.420]], "species": ["Hf", "Hf", "Hf", "Hf", "Cu", "Cu", "Zr", "Zr", "Zr", "Zr"], "frac_coords": [[0.152, 0.652, 0.500], [0.652, 0.848, 0.500], [0.848, 0.348, 0.500], [0.348, 0.152, 0.500], [0.000, 0.000, 0.000], [0.500, 0.500, 0.000], [0.352, 0.852, 0.000], [0.852, 0.648, 0.000], [0.648, 0.148, 0.000], [0.148, 0.352, 0.000]], "total_energy_ry_per_atom": -0.584, "e_above_lowest_polymorph_mev_per_atom": 58.2, "n_ef_per_ev_cell": 11.828, "space_group": "P4/mbm (127)", "ef_ev_per_atom": 0.268}


# 15
{"formula": "HfZr3Cu", "functional": "PBE", "state": "optimized geometry", "lattice_angstrom": [[-2.258, -1.684, -4.038], [-3.138, -2.543, 2.815], [-3.049, 3.865, 0.093]], "species": ["Hf", "Cu", "Zr", "Zr", "Zr"], "frac_coords": [[0.500, 0.500, 0.500], [0.000, 0.000, 0.000], [0.000, 0.500, 0.000], [0.000, 0.000, 0.500], [0.500, 0.000, 0.000]], "total_energy_ry_per_atom": -0.542, "e_above_lowest_polymorph_mev_per_atom": 476.6, "n_ef_per_ev_cell": 15.645, "space_group": "Pm-3m (221)", "ef_ev_per_atom": 0.559}


# 16
{"formula": "CuHg3", "functional": "PBE", "state": "optimized geometry", "lattice_angstrom": [[3.450, 0.000, 0.000], [0.000, 8.918, -0.181], [-1.725, -0.608, 2.925]], "species": ["Cu", "Hg", "Hg", "Hg"], "frac_coords": [[0.000, 0.000, 0.000], [0.262, 0.786, 0.524], [0.500, 0.500, 0.000], [0.738, 0.214, 0.476]], "total_energy_ry_per_atom": -0.079, "e_above_lowest_polymorph_mev_per_atom": 53.2, "n_ef_per_ev_cell": 1.361, "space_group": "R-3m (166)", "ef_ev_per_atom": 0.172}


# 17
{"formula": "CuHg", "functional": "PBE", "state": "optimized geometry", "lattice_angstrom": [[0.958, 2.671, -1.182], [-2.940, -0.349, 0.825], [2.894, 4.339, 12.145]], "species": ["Cu", "Cu", "Cu", "Hg", "Hg", "Hg"], "frac_coords": [[0.000, 0.000, 0.015], [0.000, 0.000, 0.342], [0.667, 0.333, 0.474], [0.000, 0.000, 0.638], [0.667, 0.333, 0.178], [0.667, 0.333, 0.853]], "total_energy_ry_per_atom": -0.143, "n_ef_per_ev_cell": 0.725, "space_group": "P3m1 (156)", "ef_ev_per_atom": 0.247}


# 18
{"formula": "Cu2Hg", "functional": "PBE", "state": "optimized geometry", "lattice_angstrom": [[-0.336, 3.764, 1.823], [-2.303, 0.574, -1.610], [-9.664, -6.446, 11.529]], "species": ["Hg", "Hg", "Hg", "Hg", "Cu", "Cu", "Cu", "Cu", "Cu", "Cu", "Cu", "Cu"], "frac_coords": [[0.000, 0.250, 0.631], [0.000, 0.750, 0.369], [0.500, 0.250, 0.869], [0.500, 0.750, 0.131], [0.000, 0.250, 0.060], [0.000, 0.250, 0.211], [0.000, 0.750, 0.789], [0.000, 0.750, 0.940], [0.500, 0.250, 0.289], [0.500, 0.250, 0.440], [0.500, 0.750, 0.560], [0.500, 0.750, 0.711]], "total_energy_ry_per_atom": -0.187, "n_ef_per_ev_cell": 4.922, "space_group": "Imma (74)", "ef_ev_per_atom": 0.285}


# 19
{"formula": "CuHg", "functional": "PBE", "state": "optimized geometry", "lattice_angstrom": [[7.980, 0.000, 0.000], [0.000, 7.980, 0.000], [0.000, 0.000, 7.980]], "species": ["Cu", "Cu", "Cu", "Cu", "Cu", "Cu", "Cu", "Cu", "Hg", "Hg", "Hg", "Hg", "Hg", "Hg", "Hg", "Hg"], "frac_coords": [[0.109, 0.109, 0.109], [0.109, 0.891, 0.891], [0.891, 0.109, 0.891], [0.891, 0.891, 0.109], [0.609, 0.609, 0.609], [0.609, 0.391, 0.391], [0.391, 0.609, 0.391], [0.391, 0.391, 0.609], [0.292, 0.292, 0.292], [0.292, 0.708, 0.708], [0.708, 0.292, 0.708], [0.708, 0.708, 0.292], [0.792, 0.792, 0.792], [0.792, 0.208, 0.208], [0.208, 0.792, 0.208], [0.208, 0.208, 0.792]], "total_energy_ry_per_atom": -0.137, "n_ef_per_ev_cell": 4.637, "space_group": "I-43m (217)", "ef_ev_per_atom": 0.337}


# 20
{"formula": "CuHg3", "functional": "PBE", "state": "optimized geometry", "lattice_angstrom": [[-4.153, 2.467, 2.365], [-3.417, -2.936, -2.938], [-0.032, -2.113, 2.149]], "species": ["Cu", "Hg", "Hg", "Hg"], "frac_coords": [[0.000, 0.000, 0.000], [0.000, 0.500, 0.500], [0.500, 0.000, 0.500], [0.500, 0.500, 0.000]], "total_energy_ry_per_atom": -0.072, "e_above_lowest_polymorph_mev_per_atom": 152.0, "n_ef_per_ev_cell": 0.886, "space_group": "P4/mmm (123)", "ef_ev_per_atom": 0.271}